# PBE-GGA LaMoAs2, relaxed
# * energy of formation from the pure elements: -22 kJ/mol of atoms
# * excess energy over the best structure of this formula in the dataset: 9.74 kcal/mol of atoms
data_LaMoAs2
_symmetry_space_group_name_H-M 'I -4 2 d'
_symmetry_Int_Tables_number 122
_symmetry_space_group_name_Hall 'I -4 2bw'
_cell_length_a 5.6445
_cell_length_b 5.6445
_cell_length_c 14.2277
_cell_angle_alpha 90.00
_cell_angle_beta 90.00
_cell_angle_gamma 90.00
loop_
_atom_site_label
_atom_site_fract_x
_atom_site_fract_y
_atom_site_fract_z
La1 0.0000 0.0000 0.0000
Mo1 0.0000 0.0000 0.5000
As1 0.1525 0.2500 0.6250